Entry 1:
! PBE-GGA Pa2TcBi, relaxed; values from VASP
&SYSTEM
  ibrav = 0, nat = 4, ntyp = 3
/
ATOMIC_SPECIES
Pa 231.04 Pa.upf
Bi 208.98 Bi.upf
Tc 98.00 Tc.upf
CELL_PARAMETERS angstrom
3.288 0.000 0.000
0.000 3.288 0.000
0.000 0.000 8.794
ATOMIC_POSITIONS angstrom
Pa 0.000 0.000 6.970
Pa 0.000 0.000 1.824
Bi 1.644 1.644 4.397
Tc 1.644 1.644 0.000
! - space-group type = P4/mmm (123)
! - E (eV per atom) = -8.520
! - magnetization (μB/cell) = 0.004

=====

Entry 2:
! PBE-GGA TmTcRu, relaxed; values from VASP
&SYSTEM
  ibrav = 0, nat = 12, ntyp = 3
/
ATOMIC_SPECIES
Tm 168.93 Tm.upf
Tc 98.00 Tc.upf
Ru 101.07 Ru.upf
CELL_PARAMETERS angstrom
5.423 -0.140 0.000
-2.749 4.677 0.000
0.000 0.000 8.576
ATOMIC_POSITIONS angstrom
Tm 2.678 1.478 5.901
Tm -0.027 3.072 7.005
Tm -0.027 3.072 1.571
Tm 2.678 1.478 2.675
Tc 5.359 -0.102 6.443
Tc 5.359 -0.102 2.133
Tc 0.009 1.572 4.288
Tc 1.303 3.768 4.288
Ru -1.309 3.828 4.288
Ru 2.713 2.928 0.000
Ru 1.427 0.746 0.000
Ru 4.055 0.666 0.000
! - space-group type = Amm2 (38)
! - E (eV per atom) = -8.354
! - magnetization (μB/cell) = 0.000

=====

Entry 3:
! PBE-GGA BeAsCl, relaxed; values from VASP
&SYSTEM
  ibrav = 0, nat = 3, ntyp = 3
/
ATOMIC_SPECIES
Be 9.01 Be.upf
As 74.92 As.upf
Cl 35.45 Cl.upf
CELL_PARAMETERS angstrom
3.069 0.000 0.000
-1.534 2.658 0.000
0.000 0.000 7.089
ATOMIC_POSITIONS angstrom
Be 0.000 1.772 2.585
As 0.000 0.000 0.701
Cl 1.534 0.886 3.804
! - space-group type = P3m1 (156)
! - raw formation energy (eV/atom) = -0.3248
! - magnetization (μB/cell) = 0.000

=====

Entry 4:
! PBE-GGA Li2Cu8Ni, relaxed; values from VASP
&SYSTEM
  ibrav = 0, nat = 11, ntyp = 3
/
ATOMIC_SPECIES
Li 6.94 Li.upf
Cu 63.55 Cu.upf
Ni 58.69 Ni.upf
CELL_PARAMETERS angstrom
-0.143 -0.645 -3.809
5.263 -2.914 0.295
-4.207 -4.221 0.873
ATOMIC_POSITIONS angstrom
Li 1.634 -3.415 0.516
Li -0.578 -3.720 0.651
Cu 2.124 -5.765 0.895
Cu -0.368 -6.108 1.047
Cu 0.637 -5.111 -1.121
Cu -1.897 -4.214 -1.177
Cu 2.808 -3.565 -1.464
Cu 0.275 -2.669 -1.520
Cu 1.280 -1.671 -3.689
Cu -1.212 -2.015 -3.537
Ni -0.072 -0.322 -1.905
! - space-group type = Cmmm (65)
! - E (eV per atom) = -3.725
! - magnetization (μB/cell) = 0.000

=====

Entry 5:
! PBE-GGA TcAg2Cl, relaxed; values from VASP
&SYSTEM
  ibrav = 0, nat = 4, ntyp = 3
/
ATOMIC_SPECIES
Ag 107.87 Ag.upf
Cl 35.45 Cl.upf
Tc 98.00 Tc.upf
CELL_PARAMETERS angstrom
-1.973 -2.008 0.874
-0.435 -0.793 -2.805
6.249 -5.842 0.683
ATOMIC_POSITIONS angstrom
Ag 6.088 -5.691 0.666
Ag 0.110 -2.629 -0.822
Cl 3.644 -3.407 0.399
Tc 3.372 -5.679 -0.465
! - space-group type = P4mm (99)
! - raw formation energy (eV/atom) = 0.3693
! - magnetization (μB/cell) = 0.000

=====

Entry 6:
! PBE-GGA PrIr2Rh, relaxed; values from VASP
&SYSTEM
  ibrav = 0, nat = 16, ntyp = 3
/
ATOMIC_SPECIES
Pr 140.91 Pr.upf
Ir 192.22 Ir.upf
Rh 102.91 Rh.upf
CELL_PARAMETERS angstrom
-1.030 -6.483 -1.688
1.615 -1.510 4.814
-9.155 0.606 3.262
ATOMIC_POSITIONS angstrom
Pr -5.317 0.001 3.242
Pr -1.308 -4.242 3.480
Pr -2.224 -0.906 4.834
Pr -7.263 -3.146 2.907
Ir 0.000 0.000 0.000
Ir -4.285 -3.694 3.194
Ir -7.813 -2.573 6.187
Ir -0.758 -4.815 0.201
Ir -8.203 -5.024 5.548
Ir -0.368 -2.364 0.839
Ir 0.808 -0.755 2.407
Ir -5.093 -2.939 0.787
Rh -5.930 -3.936 5.127
Rh -2.641 -3.452 1.260
Rh -1.896 -0.225 2.023
Rh -5.644 -0.679 6.053
! - space-group type = Pmma (51)
! - E (eV per atom) = -7.260
! - magnetization (μB/cell) = 0.000

=====

Entry 7:
! PBE-GGA PmAlCu11, relaxed; values from VASP
&SYSTEM
  ibrav = 0, nat = 13, ntyp = 3
/
ATOMIC_SPECIES
Pm 145.00 Pm.upf
Al 26.98 Al.upf
Cu 63.55 Cu.upf
CELL_PARAMETERS angstrom
4.490 0.002 1.871
2.196 6.166 0.915
-0.055 0.001 6.456
ATOMIC_POSITIONS angstrom
Pm 0.000 0.000 0.000
Al 3.343 3.084 1.393
Cu 1.725 1.382 2.182
Cu 4.906 4.787 7.060
Cu 3.922 4.786 3.097
Cu 2.708 1.383 6.144
Cu 2.956 3.989 5.391
Cu 3.674 2.180 3.850
Cu 0.776 2.179 4.483
Cu 5.854 3.990 4.759
Cu 1.098 3.083 0.457
Cu 2.217 0.001 4.163
Cu -0.028 0.000 3.228
! - space-group type = C2/m (12)
! - E (eV per atom) = -4.248
! - magnetization (μB/cell) = 0.000

=====

Entry 8:
! PBE-GGA Hf3ScCu, relaxed; values from VASP
&SYSTEM
  ibrav = 0, nat = 5, ntyp = 3
/
ATOMIC_SPECIES
Sc 44.96 Sc.upf
Hf 178.49 Hf.upf
Cu 63.55 Cu.upf
CELL_PARAMETERS angstrom
-3.840 -2.163 -2.264
2.871 -1.003 -3.911
1.250 -4.343 2.030
ATOMIC_POSITIONS angstrom
Sc 0.000 0.000 0.000
Hf 1.435 -0.501 -1.956
Hf 0.625 -2.172 1.015
Hf -1.920 -1.081 -1.132
Cu 0.140 -3.754 -2.072
! - space-group type = Pm-3m (221)
! - E (eV per atom) = -6.582
! - magnetization (μB/cell) = 0.000